Entry 1:
# PbW2Cl

PbW2Cl after structural relaxation (PBE-GGA, the Alexandria database).

Structure (POSCAR):
```
PbW2Cl
1.0
5.802 -0.156 0.000
-3.013 4.961 0.000
0.000 0.000 2.848
Cl Pb W
1 1 2
Direct
0.500 0.000 0.500
0.000 0.500 0.500
0.000 0.000 0.000
0.500 0.500 0.000
```

Properties
Energy relative to the elements, uncorrected = 1576 meV/atom
Mass density = 12.6 g/cm³

---

Entry 2:
# AlAg2Ir

AlAg2Ir after structural relaxation (PBE-GGA, the Alexandria database).

Structure (POSCAR):
```
AlAg2Ir
1.0
-2.857 -0.366 -2.370
-1.385 -2.757 2.096
-7.351 5.080 5.142
Ir Al Ag
2 2 4
Direct
0.000 0.000 0.000
0.750 0.250 0.500
0.500 0.500 0.000
0.250 0.750 0.500
0.626 0.125 0.250
0.124 0.625 0.250
0.375 0.374 0.750
0.875 0.876 0.750
```

Properties
Energy of formation from the pure elements = 0.18 eV/atom
Mass density = 10.4 g/cm³

---

Entry 3:
# Tm6Te3P2S

Tm6Te3P2S after structural relaxation (PBE-GGA, the Alexandria database).

Structure (POSCAR):
```
Tm6Te3P2S
1.0
4.048 0.000 0.000
0.000 8.346 0.101
-2.024 -2.606 8.681
Tm Te P S
6 3 2 1
Direct
0.342 0.891 0.683
0.676 0.559 0.353
0.658 0.109 0.317
0.011 0.227 0.021
0.989 0.773 0.979
0.324 0.441 0.647
0.500 0.500 0.000
0.834 0.167 0.669
0.166 0.833 0.331
0.834 0.668 0.667
0.166 0.332 0.333
0.500 0.000 0.000
```

Properties
Energy relative to the elements, uncorrected = -1533 meV/atom
Mass density = 8.4 g/cm³

---

Entry 4:
# SrCe2ReO8

SrCe2ReO8 after structural relaxation (PBE-GGA, the Alexandria database).

Structure (POSCAR):
```
SrCe2ReO8
1.0
5.124 0.004 -0.003
0.037 5.119 -0.005
0.005 0.008 7.067
Sr Ce Re O
1 2 1 8
Direct
0.000 0.000 0.500
0.500 0.500 0.752
0.500 0.500 0.248
0.000 0.000 0.000
0.184 0.815 0.194
0.729 0.730 0.000
0.816 0.185 0.194
0.816 0.185 0.806
0.271 0.270 0.000
0.184 0.815 0.806
0.673 0.674 0.500
0.327 0.326 0.500
```

Properties
Energy relative to the elements, uncorrected = -2651 meV/atom
Mass density = 6.1 g/cm³

---

Entry 5:
# BaTb2Tl9

BaTb2Tl9 after structural relaxation (PBE-GGA, the Alexandria database).

Structure (POSCAR):
```
BaTb2Tl9
1.0
4.902 0.000 0.000
0.000 4.902 0.000
0.000 0.000 14.612
Ba Tb Tl
1 2 9
Direct
0.000 0.000 0.000
0.000 0.000 0.346
0.000 0.000 0.654
0.500 0.500 0.000
0.500 0.500 0.336
0.500 0.500 0.664
0.500 0.000 0.181
0.500 0.000 0.500
0.500 0.000 0.819
0.000 0.500 0.181
0.000 0.500 0.500
0.000 0.500 0.819
```

Properties
Energy of formation from the pure elements = -0.25 eV/atom
Mass density = 10.9 g/cm³

---

Entry 6:
# Mo2As

Mo2As after structural relaxation (PBE-GGA, the Alexandria database).

Structure (POSCAR):
```
Mo2As
1.0
-3.271 -0.301 4.995
2.308 -5.386 1.187
4.441 2.578 3.062
Mo As
8 4
Direct
0.618 0.618 0.382
0.382 0.382 0.618
0.118 0.882 0.618
0.882 0.118 0.382
0.382 0.118 0.118
0.618 0.882 0.882
0.882 0.382 0.882
0.118 0.618 0.118
0.000 0.000 0.000
0.500 0.500 0.000
0.500 0.000 0.500
0.000 0.500 0.500
```

Properties
Energy of formation from the pure elements = 0.49 eV/atom
Mass density = 8.3 g/cm³

---

no.,total energy (eV/atom)
1,-6.290
2,-4.395
3,-5.799
4,-8.123
5,-2.953
6,-8.277